ZnPbN2 | SCAN | single point on PBEsol structure

Computed properties:
**Relative energy among the computed polymorphs**: 425 meV per atom
**Space-group type**: R-3m (166)
**ΔE_f (raw)**: 1.09 eV/atom

extended XYZ file:
```
4
Lattice="1.614 0.932 6.254 -1.614 0.932 6.254 0.000 -1.863 6.254" Properties=species:S:1:pos:R:3 pbc="T T T"
Zn 0.000 0.000 0.000
Pb 0.000 0.000 9.381
N 0.000 0.000 7.198
N 0.000 0.000 11.564
```